VASP calculation (PBE) on a relaxed structure of Tl2SbAu2.

Calculated values
- space group = P4/mbm
- spin magnetization (μB/cell) = 0.00
- excess energy over the best structure of this formula in the dataset (meV/atom) = 245
- ρ (Mg/m³) = 12.2
- raw formation energy (meV per atom) = 186.0

Cell: 8.566 8.566 3.429 Å, 90.00 90.00 90.00°
Positions (direct):
Tl 0.179 0.321 0.000
Tl 0.321 0.821 0.000
Tl 0.679 0.179 0.000
Tl 0.821 0.679 0.000
Sb 0.000 0.000 0.000
Sb 0.500 0.500 0.000
Au 0.117 0.617 0.500
Au 0.383 0.117 0.500
Au 0.617 0.883 0.500
Au 0.883 0.383 0.500